The following is a DFT calculation (PBE) of an optimized crystal structure of DyZnIn.

Geometry as CIF:
```
data_DyZnIn
_chemical_formula_sum 'Dy2 Zn2 In2'
_symmetry_space_group_name_H-M 'I 4 m m'
_symmetry_Int_Tables_number 107
_symmetry_space_group_name_Hall 'I 4 -2'
_cell_length_a 3.150
_cell_length_b 3.150
_cell_length_c 16.276
_cell_angle_alpha 90.00
_cell_angle_beta 90.00
_cell_angle_gamma 90.00
loop_
_atom_site_label
_atom_site_type_symbol
_atom_site_fract_x
_atom_site_fract_y
_atom_site_fract_z
Dy1 Dy 0.000 0.000 0.000
Zn1 Zn 0.000 0.000 0.817
In1 In 0.000 0.000 0.648
```

Results
For the density of states at the Fermi level, the calculation gives 3.8 states/eV per cell. The volume comes out at 162 Å³ per cell. The formation energy from the elements comes out at 0.183 eV per atom.